1.
LiNdLuNi: optimized geometry, GGA-PBE.

ΔH_f (0 K) (eV per formula unit): -0.46
Total energy (eV per atom): -4.360

POSCAR file:
```
LiNdLuNi
1.0
0.000 3.503 3.503
3.503 0.000 3.503
3.503 3.503 0.000
Li Nd Lu Ni
1 1 1 1
Direct
0.000 0.000 0.000
0.750 0.750 0.750
0.250 0.250 0.250
0.500 0.500 0.500
```



2.
CuB2Ir2: optimized geometry, GGA-PBE.

Energy above the most stable polymorph in this dataset (meV/atom): 0
ΔH_f (0 K) (eV per formula unit): -0.82
Total energy (eV per atom): -7.199

POSCAR file:
```
CuB2Ir2
1.0
-1.458 1.458 6.519
1.458 -1.458 6.519
1.458 1.458 -6.519
Cu B Ir
1 2 2
Direct
0.000 0.000 0.000
0.250 0.750 0.500
0.750 0.250 0.500
0.371 0.371 0.000
0.629 0.629 0.000
```



3.
Cu2AsSe: optimized geometry, GGA-PBE.

Total energy (eV per atom): -3.799

POSCAR file:
```
Cu2AsSe
1.0
1.733 -2.592 0.000
1.733 2.592 0.000
0.000 0.000 7.443
Cu As Se
2 1 1
Direct
0.000 0.000 0.246
0.000 0.000 0.754
0.500 0.500 0.000
0.500 0.500 0.500
```



4.
In2TcSe: optimized geometry, GGA-PBE.

Total energy (eV per atom): -4.586

POSCAR file:
```
In2TcSe
1.0
3.532 0.000 0.000
0.000 3.532 0.000
0.000 0.000 6.328
In Tc Se
2 1 1
Direct
0.000 0.000 0.229
0.000 0.000 0.771
0.500 0.500 0.000
0.500 0.500 0.500
```



5.
Ca4Er3ScSe8: optimized geometry, GGA-PBE.

Total energy (eV per atom): -5.327

POSCAR file:
```
Ca4Er3ScSe8
1.0
4.066 2.348 6.771
-4.066 2.348 6.771
0.000 -4.695 6.771
Ca Er Sc Se
4 3 1 8
Direct
0.000 0.000 0.000
0.000 0.500 0.500
0.500 0.000 0.500
0.500 0.500 0.000
0.000 0.000 0.500
0.000 0.500 0.000
0.500 0.000 0.000
0.500 0.500 0.500
0.248 0.248 0.248
0.251 0.744 0.744
0.256 0.256 0.749
0.256 0.749 0.256
0.744 0.251 0.744
0.744 0.744 0.251
0.749 0.256 0.256
0.752 0.752 0.752
```



6.
TaCoIr: optimized geometry, GGA-PBE.

Energy above the most stable polymorph in this dataset (meV/atom): 96
ΔH_f (0 K) (eV per formula unit): -1.12
Total energy (eV per atom): -9.647

POSCAR file:
```
TaCoIr
1.0
4.299 -1.938 0.000
4.299 1.938 0.000
-1.402 0.000 5.185
Ta Co Ir
2 2 2
Direct
0.000 0.000 0.000
0.704 0.704 0.369
0.348 0.348 0.186
0.678 0.678 0.875
0.026 0.026 0.503
0.352 0.352 0.699
```



7.
NdMg2Co9: optimized geometry, GGA-PBE.

ΔH_f (0 K) (eV per formula unit): -0.45
Total energy (eV per atom): -6.030

POSCAR file:
```
NdMg2Co9
1.0
2.466 1.424 7.855
-2.466 1.424 7.855
0.000 -2.847 7.855
Nd Mg Co
1 2 9
Direct
0.000 0.000 0.000
0.144 0.144 0.144
0.856 0.856 0.856
0.077 0.589 0.589
0.336 0.336 0.336
0.411 0.411 0.923
0.411 0.923 0.411
0.500 0.500 0.500
0.589 0.077 0.589
0.589 0.589 0.077
0.664 0.664 0.664
0.923 0.411 0.411
```



8.
Sc4Pd12Pt: optimized geometry, GGA-PBE.

ΔH_f (0 K) (eV per formula unit): -10.33
Total energy (eV per atom): -6.119

POSCAR file:
```
Sc4Pd12Pt
1.0
-4.178 4.178 4.178
4.178 -4.178 4.178
4.178 4.178 -4.178
Sc Pd Pt
4 12 1
Direct
0.000 0.000 0.500
0.000 0.500 0.000
0.500 0.000 0.000
0.500 0.500 0.500
0.000 0.300 0.300
0.000 0.700 0.700
0.250 0.500 0.750
0.250 0.750 0.500
0.300 0.000 0.300
0.300 0.300 0.000
0.500 0.250 0.750
0.500 0.750 0.250
0.700 0.000 0.700
0.700 0.700 0.000
0.750 0.250 0.500
0.750 0.500 0.250
0.000 0.000 0.000
```